NaTb2PO6, relaxed, DFT PBE; uncorrected energy = -7.202 eV per atom; ΔE_f (raw) = -2.6277 eV per atom; magnetization = 0.03 μB per cell
1.0
5.191 0.000 0.000
0.000 5.191 0.000
0.000 0.000 4.711
Na Tb P O
1 2 1 6
direct
0.000 0.000 0.000 Na
0.000 0.500 0.435 Tb
0.500 0.000 0.435 Tb
0.500 0.500 0.050 P
0.000 0.000 0.541 O
0.283 0.283 0.151 O
0.283 0.717 0.151 O
0.500 0.500 0.710 O
0.717 0.283 0.151 O
0.717 0.717 0.151 O